Record 1
PBE-GGA Pr2ErSc8, optimized geometry; formation energy from the elements = 158 meV/atom
1.0
4.3275 -7.6306 0.0000
4.3275 7.6306 0.0000
-3.1445 0.0000 4.5714
Pr Er Sc
2 1 8
Direct
0.1944 0.8056 0.0000
0.8056 0.1944 0.0000
0.5000 0.5000 0.5000
0.0589 0.0589 0.2927
0.1725 0.4027 0.8201
0.2937 0.7063 0.5000
0.4027 0.1725 0.8201
0.5973 0.8275 0.1799
0.7063 0.2937 0.5000
0.8275 0.5973 0.1799
0.9411 0.9411 0.7073



Record 2
PBE-GGA PrEr5Sc4, optimized geometry; formation energy from the elements = 293 meV/atom
1.0
10.0842 0.0000 0.0000
0.0000 11.1215 0.0000
0.0000 0.0000 5.3704
Pr Er Sc
2 10 8
Direct
0.2500 0.2500 0.2481
0.7500 0.7500 0.7519
0.0503 0.0482 0.2499
0.0503 0.4518 0.2499
0.2500 0.7500 0.7519
0.4497 0.0482 0.2499
0.4497 0.4518 0.2499
0.5503 0.5482 0.7501
0.5503 0.9518 0.7501
0.7500 0.2500 0.2481
0.9497 0.5482 0.7501
0.9497 0.9518 0.7501
0.0006 0.2500 0.7490
0.2500 0.0558 0.7494
0.2500 0.4442 0.7494
0.4994 0.2500 0.7490
0.5006 0.7500 0.2510
0.7500 0.5558 0.2506
0.7500 0.9442 0.2506
0.9994 0.7500 0.2510



Record 3
PBE-GGA Pr4Er6Sc, optimized geometry; formation energy from the elements = 291 meV/atom
1.0
-3.3091 3.3091 8.4607
3.3091 -3.3091 8.4607
3.3091 3.3091 -8.4607
Pr Er Sc
4 6 1
Direct
0.0140 0.6372 0.0000
0.3628 0.3628 0.3768
0.6372 0.0140 0.0000
0.9860 0.9860 0.6232
0.0000 0.5000 0.5000
0.1989 0.1989 0.6446
0.4457 0.8011 0.0000
0.5000 0.0000 0.5000
0.5543 0.5543 0.3554
0.8011 0.4457 0.0000
0.0000 0.0000 0.0000



Record 4
PBE-GGA PrEr2Sc3, optimized geometry; formation energy from the elements = 76 meV/atom
1.0
5.9612 0.0000 0.0000
0.0000 3.4532 0.0000
-1.9798 0.0000 16.5188
Pr Er Sc
2 4 6
Direct
0.0279 0.2500 0.3318
0.9721 0.7500 0.6682
0.2502 0.2500 0.0001
0.4740 0.2500 0.6676
0.5260 0.7500 0.3324
0.7498 0.7500 0.9999
0.1392 0.7500 0.1636
0.2542 0.7500 0.5013
0.3635 0.7500 0.8350
0.6365 0.2500 0.1650
0.7458 0.2500 0.4987
0.8608 0.2500 0.8364



Record 5
PBE-GGA Pr3Er3Sc, optimized geometry; formation energy from the elements = 285 meV/atom
1.0
4.3167 2.4922 7.2407
-4.3167 2.4922 7.2407
0.0000 -4.9845 7.2407
Pr Er Sc
6 6 2
Direct
0.0784 0.2954 0.7966
0.2034 0.9216 0.7046
0.2954 0.7966 0.0784
0.7046 0.2034 0.9216
0.7966 0.0784 0.2954
0.9216 0.7046 0.2034
0.0497 0.7397 0.5677
0.2603 0.4323 0.9503
0.4323 0.9503 0.2603
0.5677 0.0497 0.7397
0.7397 0.5677 0.0497
0.9503 0.2603 0.4323
0.3414 0.3414 0.3414
0.6586 0.6586 0.6586



Record 6
PBE-GGA PrEr7Sc3, optimized geometry; formation energy from the elements = 229 meV/atom
1.0
6.9291 0.0000 0.0000
-3.4645 6.0008 0.0000
0.0000 0.0000 8.2334
Pr Er Sc
1 7 3
Direct
0.0000 0.0000 0.0000
0.1656 0.3311 0.3422
0.1656 0.8344 0.3422
0.5015 0.0029 0.9900
0.5015 0.4985 0.9900
0.6667 0.3333 0.3337
0.6689 0.8344 0.3422
0.9971 0.4985 0.9900
0.3367 0.1683 0.6637
0.8317 0.1683 0.6637
0.8317 0.6633 0.6637



Record 7
PBE-GGA Pr2ErSc2, optimized geometry; formation energy from the elements = 49 meV/atom
1.0
7.6720 -3.0848 0.0000
7.6720 3.0848 0.0000
-1.5628 0.0000 6.4061
Pr Er Sc
4 2 4
Direct
0.1098 0.2929 0.1654
0.2929 0.1098 0.6654
0.7071 0.8902 0.3346
0.8902 0.7071 0.8346
0.0898 0.9102 0.2500
0.9102 0.0898 0.7500
0.3303 0.4858 0.5531
0.4858 0.3303 0.0531
0.5142 0.6697 0.9469
0.6697 0.5142 0.4469



Record 8
PBE-GGA Pr7ErSc4, optimized geometry; formation energy from the elements = 44 meV/atom
1.0
6.2086 0.0000 0.0000
0.0127 7.1509 0.0000
2.0552 0.0062 8.5451
Pr Er Sc
7 1 4
Direct
0.0000 0.0000 0.0000
0.2230 0.5011 0.3358
0.2896 0.2445 0.6600
0.4970 0.7574 0.9880
0.5030 0.2426 0.0120
0.7104 0.7555 0.3400
0.7770 0.4989 0.6642
0.0000 0.5000 0.0000
0.2119 0.9989 0.3425
0.2697 0.7599 0.6636
0.7303 0.2401 0.3364
0.7881 0.0011 0.6575



Record 9
PBE-GGA PrEr2Sc5, optimized geometry; formation energy from the elements = 61 meV/atom
1.0
-3.4121 3.4121 4.6548
3.4121 -3.4121 4.6548
3.4121 3.4121 -4.6548
Pr Er Sc
1 2 5
Direct
0.0000 0.0000 0.0000
0.0000 0.5000 0.5000
0.5000 0.0000 0.5000
0.0000 0.0000 0.5000
0.0000 0.5000 0.0000
0.5000 0.0000 0.0000
0.5000 0.5000 0.0000
0.5000 0.5000 0.5000



Record 10
PBE-GGA Pr3Er2Sc4, optimized geometry; formation energy from the elements = 124 meV/atom
1.0
8.0682 -5.6661 0.0000
8.0682 5.6661 0.0000
-0.8026 0.0000 5.7844
Pr Er Sc
6 4 8
Direct
0.1221 0.8779 0.7500
0.2253 0.4534 0.8924
0.4534 0.2253 0.3924
0.5466 0.7747 0.6076
0.7747 0.5466 0.1076
0.8779 0.1221 0.2500
0.0036 0.7499 0.2020
0.2501 0.9964 0.2980
0.7499 0.0036 0.7020
0.9964 0.2501 0.7980
0.0963 0.3634 0.3480
0.3259 0.5756 0.4618
0.3634 0.0963 0.8480
0.4244 0.6741 0.0382
0.5756 0.3259 0.9618
0.6366 0.9037 0.1520
0.6741 0.4244 0.5382
0.9037 0.6366 0.6520



Record 11
PBE-GGA Pr11Er9Sc4, optimized geometry; formation energy from the elements = 53 meV/atom
1.0
8.4334 -12.7578 0.0000
8.4334 12.7578 0.0000
0.0000 0.0000 3.6104
Pr Er Sc
11 9 4
Direct
0.0000 0.0000 0.0000
0.0454 0.4058 0.0000
0.1594 0.8406 0.0000
0.2986 0.2986 0.0000
0.3704 0.6296 0.0000
0.4058 0.0454 0.0000
0.5942 0.9546 0.0000
0.6296 0.3704 0.0000
0.7014 0.7014 0.0000
0.8406 0.1594 0.0000
0.9546 0.5942 0.0000
0.0739 0.2172 0.5000
0.1671 0.6288 0.5000
0.2172 0.0739 0.5000
0.3712 0.8329 0.5000
0.5000 0.5000 0.5000
0.6288 0.1671 0.5000
0.7828 0.9261 0.5000
0.8329 0.3712 0.5000
0.9261 0.7828 0.5000
0.2411 0.4456 0.5000
0.4456 0.2411 0.5000
0.5544 0.7589 0.5000
0.7589 0.5544 0.5000



Record 12
PBE-GGA Pr7Er2Sc2, optimized geometry; formation energy from the elements = 144 meV/atom
1.0
5.5195 -5.8075 0.0000
5.5195 5.8075 0.0000
-2.2160 0.0000 5.7270
Pr Er Sc
7 2 2
Direct
0.0000 0.0000 0.0000
0.0555 0.5802 0.8074
0.4198 0.9445 0.1926
0.4241 0.4241 0.2051
0.5759 0.5759 0.7949
0.5802 0.0555 0.8074
0.9445 0.4198 0.1926
0.2120 0.2120 0.5836
0.7880 0.7880 0.4164
0.2206 0.7794 0.5000
0.7794 0.2206 0.5000



> Which formula does entry 11 have?

Pr11Er9Sc4



Please write out number 5 again, unchanged.
PBE-GGA Pr3Er3Sc, optimized geometry; formation energy from the elements = 285 meV/atom
1.0
4.3167 2.4922 7.2407
-4.3167 2.4922 7.2407
0.0000 -4.9845 7.2407
Pr Er Sc
6 6 2
Direct
0.0784 0.2954 0.7966
0.2034 0.9216 0.7046
0.2954 0.7966 0.0784
0.7046 0.2034 0.9216
0.7966 0.0784 0.2954
0.9216 0.7046 0.2034
0.0497 0.7397 0.5677
0.2603 0.4323 0.9503
0.4323 0.9503 0.2603
0.5677 0.0497 0.7397
0.7397 0.5677 0.0497
0.9503 0.2603 0.4323
0.3414 0.3414 0.3414
0.6586 0.6586 0.6586



> Look up the formation energy from the elements of the seventh one.

49 meV/atom